DFT (PBE) results for an optimized crystal structure of LiAsSe2O.

Properties
- Space group: P4/mmm (123)
- Energy: -18.1 eV per cell
- N(E_F): 4.4 states/eV/f.u.
- Energy above the lowest structure with this stoichiometry: 0.0000 eV per atom
- ΔE_f (raw): 85 meV per atom
- Size of the total moment: 0.19 μB per formula unit

Cell: 4.639 4.639 4.257 Å, 90.00 90.00 90.00°
Site moments in Bohr magnetons follow the coordinates.
Atoms (fractional coordinates):
1 Se 0.500 0.000 0.000  0.01
2 O 0.000 0.000 0.000  0.02
3 As 0.000 0.000 0.500  0.06
4 Se 0.000 0.500 0.000  0.01
5 Li 0.500 0.500 0.500  0.00